a.
DFT (PBE) results for a relaxed Th4SbTe4 crystal.

Space group = I-42m

abc: 7.582 7.582 7.974
angles: 118.39 118.39 90.00
Last column: magnetic moment on the atom in μB.
Atoms (fractional coordinates):
Th1 0.943 0.377 0.320  0.14
Te1 0.500 0.000 0.000  0.00
Te2 0.000 0.500 0.000  0.00
Te3 0.656 0.656 0.313  -0.01
Te4 0.344 0.344 0.687  -0.01
Th2 0.377 0.943 0.320  0.14
Th3 0.057 0.057 0.680  0.14
Sb1 0.000 0.000 0.000  0.00
Th4 0.623 0.623 0.680  0.14

---

b.
DFT (PBE) results for a relaxed Th4SbTe4 crystal.

Space group = C2/m

abc: 4.417 7.690 9.897
angles: 76.79 77.11 73.31
Atoms (fractional coordinates):
Te1 0.677 0.417 0.229
Th1 0.110 0.694 0.085
Sb1 0.500 0.000 0.000
Th2 0.890 0.306 0.915
Te2 0.902 0.799 0.396
Te3 0.323 0.583 0.771
Th3 0.702 0.891 0.705
Th4 0.298 0.109 0.295
Te4 0.098 0.201 0.604

---

Bottom line: b, by a margin of 0.569 eV/atom.

---

a.
DFT (PBE) results for a relaxed TmThSbTe crystal.

Space group = P4/mmm

abc: 4.413 4.413 6.264
angles: 90.00 90.00 90.00
Atoms (fractional coordinates):
Sb1 0.000 0.000 0.000
Tm1 0.500 0.500 0.000
Th1 0.000 0.000 0.500
Te1 0.500 0.500 0.500

---

b.
DFT (PBE) results for a relaxed TmThSbTe crystal.

Space group = F-43m

abc: 5.379 5.379 5.379
angles: 60.00 60.00 60.00
Atoms (fractional coordinates):
Tm1 0.250 0.250 0.250
Sb1 0.500 0.500 0.500
Th1 0.750 0.750 0.750
Te1 0.000 0.000 0.000

---

Bottom line: a, by a margin of 0.098 eV/atom.

---

a.
DFT (PBE) results for a relaxed YThSbTe crystal.

Space group = F-43m

abc: 5.409 5.409 5.409
angles: 60.00 60.00 60.00
Atoms (fractional coordinates):
Te1 0.000 0.000 0.000
Sb1 0.500 0.500 0.500
Th1 0.750 0.750 0.750
Y1 0.250 0.250 0.250

---

b.
DFT (PBE) results for a relaxed YThSbTe crystal.

Space group = P4/mmm

abc: 4.438 4.438 6.290
angles: 90.00 90.00 90.00
Atoms (fractional coordinates):
Te1 0.500 0.500 0.000
Th1 0.000 0.000 0.000
Sb1 0.000 0.000 0.500
Y1 0.500 0.500 0.500

---

Bottom line: b, by a margin of 0.108 eV/atom.

---

a.
DFT (PBE) results for a relaxed Ti3SbTe crystal.

Space group = Pnma

abc: 4.064 6.883 14.442
angles: 90.00 90.00 90.00
Atoms (fractional coordinates):
Ti1 0.250 0.496 0.105
Te1 0.750 0.261 0.449
Ti2 0.750 0.668 0.422
Te2 0.250 0.239 0.949
Ti3 0.750 0.861 0.235
Ti4 0.250 0.996 0.395
Ti5 0.250 0.332 0.578
Ti6 0.250 0.639 0.735
Ti7 0.750 0.168 0.078
Te3 0.250 0.739 0.551
Te4 0.750 0.761 0.051
Sb1 0.250 0.627 0.293
Ti8 0.750 0.361 0.265
Sb2 0.750 0.373 0.707
Ti9 0.250 0.832 0.922
Ti10 0.750 0.504 0.895
Ti11 0.250 0.139 0.765
Sb3 0.250 0.127 0.207
Sb4 0.750 0.873 0.793
Ti12 0.750 0.004 0.605

---

b.
DFT (PBE) results for a relaxed Ti3SbTe crystal.

Space group = Pm-3m

abc: 5.043 5.043 5.043
angles: 90.00 90.00 90.00
Last column: magnetic moment on the atom in μB.
Atoms (fractional coordinates):
Ti1 0.500 0.000 0.000  1.12
Ti2 0.000 0.500 0.000  1.12
Te1 0.000 0.000 0.000  0.00
Sb1 0.500 0.500 0.500  -0.04
Ti3 0.000 0.000 0.500  1.29

---

Bottom line: a, by a margin of 1.023 eV/atom.

---

a.
DFT (PBE) results for a relaxed TiSb3Te crystal.

Space group = Pm-3m

abc: 5.279 5.279 5.279
angles: 90.00 90.00 90.00
Atoms (fractional coordinates):
Sb1 0.000 0.000 0.500
Te1 0.500 0.500 0.500
Sb2 0.500 0.000 0.000
Ti1 0.000 0.000 0.000
Sb3 0.000 0.500 0.000

---

b.
DFT (PBE) results for a relaxed TiSb3Te crystal.

Space group = Pm-3m

abc: 5.640 5.640 5.640
angles: 90.00 90.00 90.00
Last column: magnetic moment on the atom in μB.
Atoms (fractional coordinates):
Te1 0.000 0.000 0.000  0.01
Sb1 0.000 0.000 0.500  -0.06
Sb2 0.500 0.000 0.000  0.00
Ti1 0.500 0.500 0.500  1.79
Sb3 0.000 0.500 0.000  -0.04

---

Bottom line: a, by a margin of 0.921 eV/atom.

---

a.
DFT (PBE) results for a relaxed TiSb2Te2 crystal.

Space group = P4/mbm

abc: 7.260 7.260 5.254
angles: 90.00 90.00 90.00
Atoms (fractional coordinates):
Sb1 0.155 0.655 0.500
Sb2 0.655 0.845 0.500
Sb3 0.845 0.345 0.500
Te1 0.334 0.834 0.000
Ti1 0.000 0.000 0.000
Ti2 0.500 0.500 0.000
Te2 0.666 0.166 0.000
Sb4 0.345 0.155 0.500
Te3 0.166 0.334 0.000
Te4 0.834 0.666 0.000

---

b.
DFT (PBE) results for a relaxed TiSb2Te2 crystal.

Space group = I4/mmm

abc: 3.966 3.966 9.951
angles: 78.50 78.50 90.00
Last column: magnetic moment on the atom in μB.
Atoms (fractional coordinates):
Te1 0.578 0.578 0.844  -0.06
Sb1 0.250 0.750 0.500  -0.02
Sb2 0.750 0.250 0.500  -0.02
Te2 0.422 0.422 0.156  -0.06
Ti1 0.000 0.000 0.000  1.16

---

Bottom line: a, by a margin of 0.035 eV/atom.

---

a.
DFT (PBE) results for a relaxed TiZnSbTe2 crystal.

Space group = P4/mmm

abc: 5.263 5.263 5.079
angles: 90.00 90.00 90.00
Atoms (fractional coordinates):
Zn1 0.000 0.000 0.000
Sb1 0.000 0.000 0.500
Te1 0.500 0.000 0.000
Te2 0.000 0.500 0.000
Ti1 0.500 0.500 0.500

---

b.
DFT (PBE) results for a relaxed TiZnSbTe2 crystal.

Space group = P4/mmm

abc: 5.309 5.309 5.356
angles: 90.00 90.00 90.00
Atoms (fractional coordinates):
Ti1 0.000 0.000 0.000
Te1 0.000 0.500 0.000
Zn1 0.500 0.500 0.500
Te2 0.500 0.000 0.000
Sb1 0.000 0.000 0.500

---

Bottom line: b, by a margin of 0.583 eV/atom.

---

a.
DFT (PBE) results for a relaxed Tl2SbTe crystal.

Space group = P4/mmm

abc: 3.296 3.296 11.496
angles: 90.00 90.00 90.00
Atoms (fractional coordinates):
Te1 0.500 0.500 0.750
Sb1 0.500 0.500 0.250
Tl1 0.000 0.000 0.489
Tl2 0.000 0.000 0.011

---

b.
DFT (PBE) results for a relaxed Tl2SbTe crystal.

Space group = I-42d

abc: 6.956 6.956 8.616
angles: 66.19 66.19 90.00
Atoms (fractional coordinates):
Te1 0.000 0.000 0.000
Sb1 0.500 0.500 0.000
Tl1 0.375 0.388 0.750
Te2 0.750 0.250 0.500
Tl2 0.138 0.625 0.250
Tl3 0.612 0.125 0.250
Tl4 0.875 0.862 0.750
Sb2 0.250 0.750 0.500

---

c.
DFT (PBE) results for a relaxed Tl2SbTe crystal.

Space group = F-43m

abc: 5.579 5.579 5.579
angles: 60.00 60.00 60.00
Atoms (fractional coordinates):
Sb1 0.500 0.500 0.500
Tl1 0.000 0.000 0.000
Te1 0.750 0.750 0.750
Tl2 0.250 0.250 0.250

---

d.
DFT (PBE) results for a relaxed Tl2SbTe crystal.

Space group = Immm

abc: 6.433 6.433 6.433
angles: 136.55 136.58 63.11
Atoms (fractional coordinates):
Tl1 0.999 0.999 0.000
Sb1 0.750 0.250 0.500
Tl2 0.501 0.501 0.000
Te1 0.250 0.750 0.500

---

Bottom line: d, by a margin of 0.017 eV/atom.